PaIrPdPt | PBE-GGA | optimized geometry

Geometry as POSCAR:
```
PaIrPdPt
1.0
4.061 0.000 0.000
0.000 4.066 0.000
0.000 0.000 4.270
Pa Ir Pd Pt
1 1 1 1
Direct
0.500 0.500 0.000
0.000 0.000 0.000
0.500 0.000 0.500
0.000 0.500 0.500
```

Calculated values
Energy relative to the elements ... -911.8 meV/atom
Total magnetic moment ... 0.00 μB/f.u.
Crystal system ... orthorhombic


SnBi | PBE-GGA | optimized geometry

Geometry as POSCAR:
```
SnBi
1.0
5.922 0.000 0.000
0.000 3.152 0.000
0.000 0.000 6.802
Bi Sn
2 2
Direct
0.250 0.000 0.830
0.750 0.000 0.170
0.250 0.000 0.355
0.750 0.000 0.645
```

Calculated values
Energy relative to the elements ... 53.6 meV/atom
Total magnetic moment ... 0.00 μB/f.u.
Crystal system ... orthorhombic


SiAsSe | PBE-GGA | optimized geometry

Geometry as POSCAR:
```
SiAsSe
1.0
5.742 0.040 0.000
3.843 4.266 0.000
-4.792 -2.153 2.316
As Se Si
1 1 1
Direct
0.024 0.024 0.000
0.307 0.307 0.000
0.669 0.669 0.000
```

Calculated values
Total magnetic moment ... 0.00 μB/f.u.
Distance to the lowest polymorph of the same formula ... 1.17 eV/f.u.
Formation energy without anion corrections ... 1.29 eV per formula unit
Crystal system ... tetragonal


ReAs2Au | PBE-GGA | optimized geometry

Geometry as POSCAR:
```
ReAs2Au
1.0
-1.793 4.748 6.487
-4.098 2.564 6.668
-1.232 1.958 7.905
Re As Au
1 2 1
Direct
0.750 0.750 0.750
0.010 0.010 0.010
0.490 0.490 0.490
0.250 0.250 0.250
```

Calculated values
Energy relative to the elements ... 183.5 meV/atom
Total magnetic moment ... 0.00 μB/f.u.
Distance to the lowest polymorph of the same formula ... 0.00 eV/f.u.
Crystal system ... trigonal


MgIn2BCl | PBE-GGA | optimized geometry

Geometry as POSCAR:
```
MgIn2BCl
1.0
-5.629 -1.032 0.338
0.905 -4.383 1.700
-0.056 2.062 5.348
Mg Cl B In
1 1 1 2
Direct
0.000 0.500 0.000
0.000 0.000 0.000
0.500 0.500 0.500
0.000 0.000 0.500
0.500 0.000 0.000
```

Calculated values
Total magnetic moment ... 0.00 μB/f.u.
Formation energy without anion corrections ... 5.19 eV per formula unit
Crystal system ... tetragonal


NdPuPdRh | PBE-GGA | optimized geometry

Geometry as POSCAR:
```
NdPuPdRh
1.0
-0.404 -3.835 0.658
4.119 -0.421 0.075
0.199 2.876 5.261
Nd Pu Pd Rh
1 1 1 1
Direct
0.147 0.000 0.294
0.868 0.500 0.735
0.581 0.500 0.161
0.405 0.000 0.810
```

Calculated values
Energy relative to the elements ... -592.9 meV/atom
Total magnetic moment ... 5.44 μB/f.u.
Distance to the lowest polymorph of the same formula ... 0.00 eV/f.u.
Crystal system ... orthorhombic


BaNaLiMg2 | PBE-GGA | optimized geometry

Geometry as POSCAR:
```
BaNaLiMg2
1.0
5.485 0.000 0.000
0.000 5.485 0.000
0.000 0.000 5.487
Na Mg Ba Li
1 2 1 1
Direct
0.000 0.000 0.500
0.000 0.500 0.000
0.500 0.000 0.000
0.500 0.500 0.500
0.000 0.000 0.000
```

Calculated values
Energy relative to the elements ... 88.8 meV/atom
Total magnetic moment ... 0.00 μB/f.u.
Crystal system ... tetragonal


Ca2AcIrO5 | PBE-GGA | optimized geometry

Geometry as POSCAR:
```
Ca2AcIrO5
1.0
-2.307 -2.828 -1.478
4.376 -3.591 0.042
-2.423 1.578 6.005
Ca Ac Ir O
2 1 1 5
Direct
0.207 0.207 0.415
0.793 0.793 0.585
0.000 0.500 0.000
0.500 0.000 0.000
0.633 0.879 0.265
0.367 0.121 0.735
0.367 0.614 0.735
0.633 0.386 0.265
0.000 0.000 0.000
```

Calculated values
Total magnetic moment ... 0.00 μB/f.u.
Formation energy without anion corrections ... -20.58 eV per formula unit
Crystal system ... orthorhombic


Nd3Er | PBE-GGA | optimized geometry

Geometry as POSCAR:
```
Nd3Er
1.0
-1.476 2.844 -1.807
-7.773 -3.787 0.390
-0.928 4.268 7.476
Nd Er
6 2
Direct
0.750 0.416 0.831
0.750 0.830 0.912
0.750 0.916 0.338
0.250 0.584 0.169
0.250 0.170 0.088
0.250 0.084 0.662
0.250 0.663 0.580
0.750 0.337 0.420
```

Calculated values
Energy relative to the elements ... 29.7 meV/atom
Total magnetic moment ... 0.01 μB/f.u.
Distance to the lowest polymorph of the same formula ... 0.06 eV/f.u.
Crystal system ... monoclinic


CrHg2P | PBE-GGA | optimized geometry

Geometry as POSCAR:
```
CrHg2P
1.0
-3.819 0.449 -7.438
-5.926 -1.592 -5.697
-6.172 1.794 -5.366
Cr Hg P
1 2 1
Direct
0.750 0.750 0.750
0.999 0.999 0.999
0.501 0.501 0.501
0.250 0.250 0.250
```

Calculated values
Energy relative to the elements ... 578.1 meV/atom
Total magnetic moment ... 3.79 μB/f.u.
Crystal system ... trigonal


Tm6Te3Rh2Au | PBE-GGA | optimized geometry

Geometry as POSCAR:
```
Tm6Te3Rh2Au
1.0
-2.887 -6.476 0.680
7.084 0.734 -0.113
-1.353 2.637 6.953
Tm Te Rh Au
6 3 2 1
Direct
0.929 0.576 0.789
0.715 0.715 0.206
0.071 0.424 0.211
0.576 0.929 0.789
0.285 0.285 0.794
0.424 0.071 0.211
0.160 0.840 0.500
0.840 0.160 0.500
0.500 0.500 0.500
0.332 0.668 0.000
0.668 0.332 0.000
0.000 0.000 0.000
```

Calculated values
Total magnetic moment ... 0.00 μB/f.u.
Formation energy without anion corrections ... -12.44 eV per formula unit
Crystal system ... monoclinic


Be2TcCl | PBE-GGA | optimized geometry

Geometry as POSCAR:
```
Be2TcCl
1.0
2.924 0.000 0.000
0.000 3.149 0.110
0.000 -0.354 7.220
Be Tc Cl
2 1 1
Direct
0.000 0.997 0.015
0.500 0.503 0.200
0.500 0.493 0.894
0.000 0.507 0.392
```

Calculated values
Total magnetic moment ... 0.00 μB/f.u.
Distance to the lowest polymorph of the same formula ... 0.12 eV/f.u.
Formation energy without anion corrections ... 0.62 eV per formula unit
Crystal system ... monoclinic


Ag2P2F | PBE-GGA | optimized geometry

Geometry as POSCAR:
```
Ag2P2F
1.0
4.903 0.000 0.000
0.000 4.903 0.000
2.452 2.452 3.628
P Ag F
2 2 1
Direct
0.357 0.357 0.287
0.643 0.643 0.713
0.750 0.250 0.500
0.250 0.750 0.500
0.000 0.000 0.000
```

Calculated values
Total magnetic moment ... 0.00 μB/f.u.
Distance to the lowest polymorph of the same formula ... 0.00 eV/f.u.
Formation energy without anion corrections ... -0.73 eV per formula unit
Crystal system ... tetragonal


NaLa2CoGe | PBE-GGA | optimized geometry

Geometry as POSCAR:
```
NaLa2CoGe
1.0
5.435 0.000 0.000
0.000 5.435 0.000
0.000 0.000 4.605
Na Ge Co La
1 1 1 2
Direct
0.500 0.500 0.500
0.000 0.000 0.500
0.000 0.000 0.000
0.000 0.500 0.000
0.500 0.000 0.000
```

Calculated values
Energy relative to the elements ... -218.9 meV/atom
Total magnetic moment ... 0.00 μB/f.u.
Crystal system ... tetragonal


BaReW2 | PBE-GGA | optimized geometry

Geometry as POSCAR:
```
BaReW2
1.0
5.786 -0.702 0.000
-2.624 5.204 0.000
0.000 0.000 2.795
Re Ba W
1 1 2
Direct
0.000 0.500 0.500
0.500 0.000 0.500
0.000 0.000 0.000
0.500 0.500 0.000
```

Calculated values
Energy relative to the elements ... 1664.8 meV/atom
Total magnetic moment ... 0.00 μB/f.u.
Distance to the lowest polymorph of the same formula ... 3.29 eV/f.u.
Crystal system ... orthorhombic


K2GaHg | PBE-GGA | optimized geometry

Geometry as POSCAR:
```
K2GaHg
1.0
3.807 0.000 0.000
1.904 3.297 0.000
1.904 1.099 12.279
K Hg Ga
2 1 1
Direct
0.091 0.091 0.728
0.909 0.909 0.272
0.500 0.500 0.500
0.000 0.000 0.000
```

Calculated values
Energy relative to the elements ... 204.2 meV/atom
Total magnetic moment ... 0.00 μB/f.u.
Distance to the lowest polymorph of the same formula ... 0.60 eV/f.u.
Crystal system ... trigonal


Y3MnPb | PBE-GGA | optimized geometry

Geometry as POSCAR:
```
Y3MnPb
1.0
5.193 0.000 0.000
0.000 5.193 0.000
0.000 0.000 5.193
Pb Y Mn
1 3 1
Direct
0.500 0.500 0.500
0.000 0.500 0.000
0.000 0.000 0.500
0.500 0.000 0.000
0.000 0.000 0.000
```

Calculated values
Energy relative to the elements ... 53.3 meV/atom
Total magnetic moment ... 0.87 μB/f.u.
Distance to the lowest polymorph of the same formula ... 0.00 eV/f.u.
Crystal system ... cubic


Al5V4H | PBE-GGA | optimized geometry

Geometry as POSCAR:
```
Al5V4H
1.0
-0.853 -1.769 1.882
6.824 -2.470 0.769
0.750 5.882 3.903
Al V H
5 4 1
Direct
0.821 0.628 0.641
0.835 0.265 0.670
0.165 0.735 0.330
0.500 0.500 0.000
0.179 0.372 0.359
0.336 0.950 0.672
0.990 0.827 0.980
0.664 0.050 0.328
0.010 0.173 0.020
0.500 0.000 0.000
```

Calculated values
Total magnetic moment ... 0.00 μB/f.u.
Crystal system ... monoclinic
Calculated total energy ... -5.902 eV/atom


LaCe4S5 | PBE-GGA | optimized geometry

Geometry as POSCAR:
```
LaCe4S5
1.0
3.946 0.000 0.901
1.664 6.566 1.803
0.008 0.009 9.053
La Ce S
1 4 5
Direct
0.000 0.000 0.000
0.599 0.203 0.600
0.201 0.395 0.204
0.799 0.605 0.796
0.401 0.797 0.400
0.201 0.902 0.695
0.799 0.098 0.305
0.396 0.310 0.898
0.000 0.500 0.500
0.604 0.690 0.102
```

Calculated values
Total magnetic moment ... 2.29 μB/f.u.
Formation energy without anion corrections ... -20.63 eV per formula unit
Crystal system ... monoclinic


Ho7Ni2Pd2 | PBE-GGA | optimized geometry

Geometry as POSCAR:
```
Ho7Ni2Pd2
1.0
6.491 -0.003 -0.884
0.003 6.804 0.003
-1.286 -0.002 6.424
Ho Ni Pd
7 2 2
Direct
0.000 0.257 0.500
0.500 0.743 0.000
0.000 0.743 0.500
0.500 0.257 0.000
0.000 0.000 0.000
0.500 0.748 0.500
0.500 0.252 0.500
0.710 0.000 0.290
0.290 0.000 0.710
0.811 0.500 0.811
0.189 0.500 0.189
```

Calculated values
Energy relative to the elements ... -320.7 meV/atom
Total magnetic moment ... 0.00 μB/f.u.
Distance to the lowest polymorph of the same formula ... 1.78 eV/f.u.
Crystal system ... orthorhombic


Nd2Dy2Y2Er | PBE-GGA | optimized geometry

Geometry as POSCAR:
```
Nd2Dy2Y2Er
1.0
3.522 0.000 0.000
-1.761 5.672 1.583
0.000 0.655 11.817
Nd Dy Y Er
2 2 2 1
Direct
0.673 0.346 0.914
0.327 0.654 0.086
0.771 0.543 0.365
0.229 0.457 0.635
0.451 0.903 0.770
0.549 0.097 0.230
0.000 0.000 0.500
```

Calculated values
Energy relative to the elements ... 85.1 meV/atom
Total magnetic moment ... 0.00 μB/f.u.
Crystal system ... monoclinic


Ru2Se | PBE-GGA | optimized geometry

Geometry as POSCAR:
```
Ru2Se
1.0
1.990 -3.446 0.000
1.990 3.446 0.000
0.000 0.000 7.217
Ru Se
4 2
Direct
0.667 0.333 0.433
0.333 0.667 0.933
0.333 0.667 0.567
0.667 0.333 0.067
0.000 0.000 0.250
0.000 0.000 0.750
```

Calculated values
Total magnetic moment ... 0.00 μB/f.u.
Distance to the lowest polymorph of the same formula ... 0.87 eV/f.u.
Formation energy without anion corrections ... 1.06 eV per formula unit
Crystal system ... hexagonal


As3C | PBE-GGA | optimized geometry

Geometry as POSCAR:
```
As3C
1.0
-0.063 -0.869 4.360
4.131 -1.623 -0.264
1.192 2.935 0.602
As C
3 1
Direct
0.000 0.000 0.000
0.500 0.000 0.500
0.500 0.500 0.000
0.000 0.500 0.500
```

Calculated values
Energy relative to the elements ... 1567.2 meV/atom
Total magnetic moment ... 0.00 μB/f.u.
Distance to the lowest polymorph of the same formula ... 4.10 eV/f.u.
Crystal system ... tetragonal


LiAc2HPd6 | PBE-GGA | optimized geometry

Geometry as POSCAR:
```
LiAc2HPd6
1.0
6.826 -0.007 0.592
0.025 5.968 0.026
3.856 2.984 4.822
Li Ac H Pd
1 2 1 6
Direct
0.000 0.000 0.000
0.732 0.267 0.468
0.268 0.733 0.532
0.500 0.500 0.000
0.231 0.269 0.461
0.731 0.770 0.960
0.269 0.731 0.040
0.731 0.269 0.960
0.269 0.230 0.040
0.769 0.731 0.539
```

Calculated values
Total magnetic moment ... 0.00 μB/f.u.
Crystal system ... triclinic
Calculated total energy ... -5.079 eV/atom


SrMgIn2 | PBE-GGA | optimized geometry

Geometry as POSCAR:
```
SrMgIn2
1.0
6.022 0.140 -0.061
4.781 3.664 -0.061
1.633 0.575 5.527
In Mg Sr
2 1 1
Direct
0.981 0.981 0.006
0.261 0.261 0.278
0.518 0.518 0.439
0.740 0.740 0.778
```

Calculated values
Energy relative to the elements ... -178.3 meV/atom
Total magnetic moment ... 0.00 μB/f.u.
Crystal system ... monoclinic


CaZn2SnAu5 | PBE-GGA | optimized geometry

Geometry as POSCAR:
```
CaZn2SnAu5
1.0
4.827 0.000 0.000
0.000 4.827 0.000
0.000 0.000 7.949
Ca Zn Sn Au
1 2 1 5
Direct
0.000 0.000 0.500
0.500 0.500 0.153
0.500 0.500 0.847
0.000 0.000 0.000
0.000 0.500 0.265
0.500 0.000 0.265
0.000 0.500 0.735
0.500 0.000 0.735
0.500 0.500 0.500
```

Calculated values
Energy relative to the elements ... -258.3 meV/atom
Total magnetic moment ... 0.00 μB/f.u.
Crystal system ... tetragonal


MgZrF3 | PBE-GGA | optimized geometry

Geometry as POSCAR:
```
MgZrF3
1.0
4.089 0.000 0.000
0.000 4.089 0.000
0.000 0.000 4.089
Mg Zr F
1 1 3
Direct
0.000 0.000 0.000
0.500 0.500 0.500
0.000 0.500 0.000
0.000 0.000 0.500
0.500 0.000 0.000
```

Calculated values
Total magnetic moment ... 2.80 μB/f.u.
Distance to the lowest polymorph of the same formula ... 0.62 eV/f.u.
Formation energy without anion corrections ... -10.49 eV per formula unit
Crystal system ... cubic